Entry A
Here is an optimized crystal structure of NaBiP2Cl from the Alexandria database. Energies are from PBE.

Structure (extended XYZ):
```
5
Lattice="5.331 0.000 0.000 0.000 5.331 0.000 0.000 0.000 5.709" Properties=species:S:1:pos:R:3 pbc="T T T"
Cl 0.000 0.000 2.854
Na 2.665 2.665 2.854
P 0.000 2.665 0.000
P 2.665 0.000 0.000
Bi 0.000 0.000 0.000
```

## Properties
Its space-group type is P4/mmm (123). Its calculated density is 3.37 g/cm³.

***

Entry B
Here is an optimized crystal structure of NaBiP2Cl from the Alexandria database. Energies are from PBE.

Structure (extended XYZ):
```
5
Lattice="-3.344 2.908 -2.417 -0.629 -3.610 -3.472 -3.526 -1.890 2.604" Properties=species:S:1:pos:R:3 pbc="T T T"
Cl -1.763 -0.945 1.302
P -0.315 -1.805 -1.736
P -1.672 1.454 -1.209
Bi -3.750 -1.296 -1.643
Na 0.000 0.000 0.000
```

## Properties
Its space-group type is P4/mmm (123). Its calculated density is 4.50 g/cm³.

***

The most stable structure shown above is entry A; the least stable is entry B.